(1)
Entry from Alexandria: a relaxed structure of TaPdNF2 (GGA-PBEsol).

The energy relative to the elements, uncorrected is 459 meV/atom. The calculation puts the calculated total energy at -5.719 eV per atom.

The structure belongs to space group P4/mmm (No. 123); the cell edges are 3.967, 3.967 and 4.113 Å and the angles 90.00°, 90.00° and 90.00°. The asymmetric unit holds Ta at (0.000, 0.000, 0.000), Pd at (0.500, 0.500, 0.500), N at (0.500, 0.500, 0.000) and F at (0.000, 0.500, 0.500).



(2)
Entry from Alexandria: a relaxed structure of TePdN2F (GGA-PBEsol).

The energy relative to the elements, uncorrected is 1844 meV/atom. The calculation puts the calculated total energy at -3.849 eV per atom.

The structure belongs to space group P4/mmm (No. 123); the cell edges are 4.033, 4.033 and 4.219 Å and the angles 90.00°, 90.00° and 90.00°. The asymmetric unit holds Te at (0.000, 0.000, 0.000), Pd at (0.500, 0.500, 0.000), N at (0.000, 0.500, 0.500) and F at (0.000, 0.000, 0.500).